This record from Alexandria describes a crystal of BaBeHg2 relaxed with PBEsol. The functional is meta-GGA SCAN.

Space-group type: Imm2 (44)
E_form (eV/atom): -0.10
DFT total energy (eV per atom): -45.16

Cell and atoms, written as extended XYZ:
```
4
Lattice="4.584 0.000 0.000 2.292 4.956 -0.014 2.292 1.463 4.735" Properties=species:S:1:pos:R:3 pbc="T T T"
Be 2.292 0.840 0.618
Hg 6.877 5.138 3.779
Hg 4.584 0.492 0.362
Ba 4.584 3.159 2.323
```

=====

This record from Alexandria describes a crystal of CoRe3 relaxed with PBEsol. The functional is meta-GGA SCAN.

Space-group type: P4/mmm (123)
E_form (eV/atom): 0.16
DFT total energy (eV per atom): -57.49

Cell and atoms, written as extended XYZ:
```
4
Lattice="-2.114 -1.179 -1.169 1.635 -1.147 -1.800 0.806 -5.899 4.491" Properties=species:S:1:pos:R:3 pbc="T T T"
Re 0.403 -2.949 2.245
Re 0.377 -5.674 1.950
Re -0.050 -2.551 -0.428
Co 0.000 0.000 0.000
```

=====

This record from Alexandria describes a crystal of Ho2InFe2 relaxed with PBEsol. The functional is meta-GGA SCAN.

Space-group type: Cmmm (65)
E_form (eV/atom): -0.16
DFT total energy (eV per atom): -33.68

Cell and atoms, written as extended XYZ:
```
5
Lattice="3.692 0.000 0.000 0.000 4.000 0.000 -1.846 0.000 6.623" Properties=species:S:1:pos:R:3 pbc="T T T"
Fe 0.000 0.000 2.807
Fe 1.846 0.000 3.815
In 0.000 0.000 0.000
Ho 1.846 2.000 1.824
Ho 0.000 2.000 4.798
```

=====

Q: The highest DFT total energy belongs to which entry?
A: Ho2InFe2

=====

Q: Which formula does entry 2 have?
A: CoRe3

=====

Q: Among the records above, which one has the highest E_form?
A: CoRe3